[1]
This record from the Alexandria database describes a crystal of YNbBi2Sb relaxed with PBEsol. The functional is meta-GGA SCAN.

Cell and atoms, written as POSCAR:
```
YNbBi2Sb
1.0
5.666 0.000 0.000
0.000 5.666 0.000
0.000 0.000 5.569
Y Nb Bi Sb
1 1 2 1
Cartesian
0.000 0.000 0.000
2.833 2.833 2.784
0.000 2.833 0.000
2.833 0.000 0.000
0.000 0.000 2.784
```

Computed properties:
**Total energy**: -50.087 eV per atom
**Space group**: No. 123

[2]
This record from the Alexandria database describes a crystal of TbGa4Co8 relaxed with PBEsol. The functional is meta-GGA SCAN.

Cell and atoms, written as POSCAR:
```
TbGa4Co8
1.0
-4.116 4.116 2.415
4.116 -4.116 2.415
4.116 4.116 -2.415
Tb Ga Co
1 4 8
Cartesian
0.000 0.000 0.000
2.828 0.000 0.000
5.403 0.000 0.000
0.000 2.828 0.000
0.000 5.403 0.000
2.058 2.058 -1.208
2.058 -2.058 1.208
4.116 2.266 0.000
-2.058 2.058 1.208
2.266 4.116 0.000
2.058 2.058 1.208
1.850 0.000 2.415
0.000 1.850 2.415
```

Computed properties:
**Energy of formation from the pure elements**: -183 meV/atom
**Total energy**: -19.458 eV per atom
**Space group**: No. 139